# 1
20
Lattice="10.3848 0.0000 0.0000 0.0000 7.9334 0.0000 -3.2366 0.0000 8.5440" Properties=species:S:1:pos:R:3 comment="Ac3HgPd, relaxed, DFT PBE-GGA" ef_kj_per_mol_fu=-213.2 rho_g_cm3=9.32 n_ef_per_ev_atom=1.14 pbc="T T T"
Ac 0.0588 0.1512 1.8557
Ac -1.5595 3.8155 6.1277
Ac 1.3526 1.2994 5.2628
Ac 2.9709 2.6673 0.9908
Ac 2.0713 5.3811 4.1522
Ac 0.4530 6.5189 8.4243
Ac 6.6951 1.4144 0.1198
Ac 5.0768 2.5523 4.3918
Ac 4.1773 5.2661 7.5533
Ac 5.7956 6.6340 3.2812
Ac 8.7077 4.1179 2.4163
Ac 7.0894 7.7822 6.6884
Hg 0.7132 5.2257 0.5009
Hg -0.9051 6.6744 4.7729
Hg 8.0533 1.2590 3.7711
Hg 6.4350 2.7077 8.0432
Pd 3.1827 0.2525 2.8209
Pd 1.5644 3.7142 7.0930
Pd 5.5838 4.2192 1.4511
Pd 3.9655 7.6808 5.7231

=====

# 2
7
Lattice="5.4553 0.0000 0.0000 -2.7277 4.7245 0.0000 0.0000 0.0000 5.6264" Properties=species:S:1:pos:R:3 comment="Mg4Ta3, relaxed, DFT PBE-GGA" ef_kj_per_mol_fu=195.7 rho_g_cm3=7.33 n_ef_per_ev_atom=0.57 pbc="T T T"
Mg 0.0000 0.0000 1.3871
Mg 0.0000 0.0000 4.2393
Mg 0.0000 3.1496 2.8132
Mg 2.7277 1.5748 2.8132
Ta -1.3638 2.3622 0.0000
Ta 2.7277 0.0000 0.0000
Ta 1.3638 2.3622 0.0000

=====

# 3
4
Lattice="0.0000 2.8431 2.8431 2.8431 0.0000 2.8431 2.8431 2.8431 0.0000" Properties=species:S:1:pos:R:3 comment="MnAlFeCo, relaxed, DFT PBE-GGA" ef_kj_per_mol_fu=-93.1 rho_g_cm3=7.11 n_ef_per_ev_atom=1.37 pbc="T T T"
Mn 0.0000 0.0000 0.0000
Al 2.8431 2.8431 2.8431
Fe 4.2646 4.2646 4.2646
Co 1.4215 1.4215 1.4215